Record 1
DFT (PBE) results for a relaxed structure of LiCa3Mg.

Lattice parameters (Å, degrees): 5.6116 21.2331 5.6231 90.00 90.00 90.00
With the nearest neighbours (Å) after each atom.
Space group Cmcm (No. 63)
Inequivalent atoms, fractional coordinates:
Li (0.0000, 0.1566, 0.2500)  8 Ca 3.42-3.45
Ca (0.0000, 0.0647, 0.7500)  2 Mg 3.41, 2 Li 3.42
Ca (0.0000, 0.2504, 0.7500)  4 Li 3.43-3.45, 4 Mg 3.44-3.45
Ca (0.0000, 0.4365, 0.7500)  2 Mg 3.43, 2 Li 3.43
Mg (0.0000, 0.3440, 0.2500)  8 Ca 3.41-3.45

***

Record 2
DFT (PBE) results for a relaxed structure of LiCaMg2.

Lattice parameters (Å, degrees): 11.4054 3.9439 5.2435 90.00 117.19 90.00
With the nearest neighbours (Å) after each atom.
Space group C2/m (No. 12)
Inequivalent atoms, fractional coordinates:
Li (0.0000, 0.0000, 0.0000)  4 Mg 3.03, 4 Ca 3.28
Ca (0.0000, 0.5000, 0.5000)  4 Li 3.28, 8 Mg 3.41-3.49
Mg (0.2263, 0.5000, 0.2260)  2 Li 3.03, 4 Mg 3.31-3.32

***

Q: Which formation energy values were calculated for the entries above? A: -0.023; -0.014, in eV per atom.
Q: Which spin magnetization values were calculated for the entries above? A: 0.0; 0.0, in μB per formula unit.